#w
Density functional theory data (PBE) for a geometry-optimized SrIOF2 structure.

The structure in CIF format:
```
data_SrIOF2
_cell_length_a 4.555
_cell_length_b 4.555
_cell_length_c 5.210
_cell_angle_alpha 90.00
_cell_angle_beta 90.00
_cell_angle_gamma 90.00
_space_group_name_H-M_alt 'P 4/m m m'
_space_group_IT_number 123
_space_group_name_Hall '-P 4 2'
loop_
_atom_site_label
_atom_site_fract_x
_atom_site_fract_y
_atom_site_fract_z
Sr1 0.000 0.000 0.000
I1 0.500 0.500 0.500
O1 0.000 0.000 0.500
F1 0.000 0.500 0.000
```

***

#x
Density functional theory data (PBE) for a geometry-optimized SrIOF2 structure.

The structure in CIF format:
```
data_SrIOF2
_cell_length_a 4.983
_cell_length_b 4.983
_cell_length_c 4.330
_cell_angle_alpha 90.00
_cell_angle_beta 90.00
_cell_angle_gamma 90.00
_space_group_name_H-M_alt 'P 4/m m m'
_space_group_IT_number 123
_space_group_name_Hall '-P 4 2'
loop_
_atom_site_label
_atom_site_fract_x
_atom_site_fract_y
_atom_site_fract_z
Sr1 0.000 0.000 0.000
I1 0.500 0.500 0.500
O1 0.500 0.500 0.000
F1 0.000 0.500 0.500
```

***

What are the relative energies? In meV per atom: #w 0; #x 141.

***

#w
Density functional theory data (PBE) for a geometry-optimized TeI2OF structure.

The structure in CIF format:
```
data_TeI2OF
_cell_length_a 5.573
_cell_length_b 5.573
_cell_length_c 3.771
_cell_angle_alpha 90.00
_cell_angle_beta 90.00
_cell_angle_gamma 90.00
_space_group_name_H-M_alt 'P 4/m m m'
_space_group_IT_number 123
_space_group_name_Hall '-P 4 2'
loop_
_atom_site_label
_atom_site_fract_x
_atom_site_fract_y
_atom_site_fract_z
Te1 0.000 0.000 0.000
I1 0.000 0.500 0.500
O1 0.500 0.500 0.000
F1 0.500 0.500 0.500
```

***

#x
Density functional theory data (PBE) for a geometry-optimized TeI2OF structure.

The structure in CIF format:
```
data_TeI2OF
_cell_length_a 5.100
_cell_length_b 5.100
_cell_length_c 4.514
_cell_angle_alpha 90.00
_cell_angle_beta 90.00
_cell_angle_gamma 90.00
_space_group_name_H-M_alt 'P 4/m m m'
_space_group_IT_number 123
_space_group_name_Hall '-P 4 2'
loop_
_atom_site_label
_atom_site_fract_x
_atom_site_fract_y
_atom_site_fract_z
Te1 0.000 0.000 0.000
I1 0.000 0.500 0.500
O1 0.000 0.000 0.500
F1 0.500 0.500 0.000
```

***

#y
Density functional theory data (PBE) for a geometry-optimized TeI2OF structure.

The structure in CIF format:
```
data_TeI2OF
_cell_length_a 5.965
_cell_length_b 5.965
_cell_length_c 4.012
_cell_angle_alpha 90.00
_cell_angle_beta 90.00
_cell_angle_gamma 90.00
_space_group_name_H-M_alt 'P 4/m m m'
_space_group_IT_number 123
_space_group_name_Hall '-P 4 2'
loop_
_atom_site_label
_atom_site_fract_x
_atom_site_fract_y
_atom_site_fract_z
Te1 0.000 0.000 0.000
I1 0.000 0.500 0.000
O1 0.000 0.000 0.500
F1 0.500 0.500 0.500
```

***

What are the relative energies? In meV per atom: #w 802; #x 338; #y 0.

***

#w
Density functional theory data (PBE) for a geometry-optimized TlI2OF structure.

The structure in CIF format:
```
data_TlI2OF
_cell_length_a 6.300
_cell_length_b 6.300
_cell_length_c 3.978
_cell_angle_alpha 90.00
_cell_angle_beta 90.00
_cell_angle_gamma 90.00
_space_group_name_H-M_alt 'P 4/m m m'
_space_group_IT_number 123
_space_group_name_Hall '-P 4 2'
loop_
_atom_site_label
_atom_site_fract_x
_atom_site_fract_y
_atom_site_fract_z
Tl1 0.000 0.000 0.000
I1 0.000 0.500 0.000
O1 0.000 0.000 0.500
F1 0.500 0.500 0.500
```

***

#x
Density functional theory data (PBE) for a geometry-optimized TlI2OF structure.

The structure in CIF format:
```
data_TlI2OF
_cell_length_a 4.930
_cell_length_b 4.930
_cell_length_c 5.913
_cell_angle_alpha 90.00
_cell_angle_beta 90.00
_cell_angle_gamma 90.00
_space_group_name_H-M_alt 'P 4/m m m'
_space_group_IT_number 123
_space_group_name_Hall '-P 4 2'
loop_
_atom_site_label
_atom_site_fract_x
_atom_site_fract_y
_atom_site_fract_z
Tl1 0.000 0.000 0.000
I1 0.000 0.500 0.500
O1 0.500 0.500 0.000
F1 0.500 0.500 0.500
```

***

What are the relative energies? In meV per atom: #w 39; #x 0.